# 1
The following is a DFT calculation (meta-GGA SCAN) of a crystal of CaCu2Si relaxed with PBEsol.

abc: 5.4241 5.4241 5.4241
angles: 43.94 43.94 43.94
Last column: nearest neighbours and their distance in Å.
Fractional positions:
Ca  0.0000  0.0000  0.0000  8 Cu 2.86-3.10
Cu  0.1947  0.1947  0.1947  3 Si 2.38, 3 Cu 2.48
Cu  0.8053  0.8053  0.8053  3 Si 2.38, 3 Cu 2.48
Si  0.5000  0.5000  0.5000  6 Cu 2.38

Summary:
- ΔE_f (raw) (eV per atom) = -0.3299
- space-group type = R-3m
- total moment (μB per formula unit) = 0.00
- total energy (eV per atom) = -12.85

=====

# 2
The following is a DFT calculation (meta-GGA SCAN) of a crystal of CaCu2Si relaxed with PBEsol.

abc: 4.0628 4.0628 5.5361
angles: 111.65 111.65 60.00
Last column: nearest neighbours and their distance in Å.
Fractional positions:
Ca  0.0000  0.0000  0.0000  4 Cu 2.88-3.17, 4 Si 2.95-3.13
Cu  0.5132  0.5132  0.5410  3 Si 2.36, 3 Cu 2.42
Cu  0.8076  0.8076  0.4248  3 Cu 2.42, 3 Si 2.48
Si  0.1956  0.1956  0.5880  6 Cu 2.36-2.48

Summary:
- ΔE_f (raw) (eV per atom) = -0.2852
- space-group type = Cm
- total moment (μB per formula unit) = 0.00
- total energy (eV per atom) = -12.80

=====

# 3
The following is a DFT calculation (meta-GGA SCAN) of a crystal of Ca6Cu2Sn7 relaxed with PBEsol.

abc: 7.3947 7.3947 12.2423
angles: 93.63 93.63 35.52
Last column: nearest neighbours and their distance in Å.
Fractional positions:
Ca  0.0384  0.0384  0.2012  2 Cu 3.17, 8 Sn 3.26-3.45
Ca  0.1368  0.1368  0.5020  7 Sn 3.21-3.35
Ca  0.3049  0.3049  0.2052  2 Cu 3.12, 6 Sn 3.23-3.31
Ca  0.6951  0.6951  0.7948  2 Cu 3.12, 6 Sn 3.23-3.31
Ca  0.8632  0.8632  0.4980  7 Sn 3.21-3.35
Ca  0.9616  0.9616  0.7988  2 Cu 3.17, 8 Sn 3.26-3.45
Cu  0.3301  0.3301  0.8898  5 Sn 2.61-2.75
Cu  0.6699  0.6699  0.1102  5 Sn 2.61-2.75
Sn  0.1594  0.1594  0.9815  3 Cu 2.72-2.75
Sn  0.3169  0.3169  0.6765  1 Cu 2.61, 1 Sn 2.88
Sn  0.4885  0.4885  0.3813  2 Sn 2.88-2.90
Sn  0.5000  0.5000  0.0000  2 Cu 2.67
Sn  0.5115  0.5115  0.6187  2 Sn 2.88-2.90
Sn  0.6831  0.6831  0.3235  1 Cu 2.61, 1 Sn 2.88
Sn  0.8406  0.8406  0.0185  3 Cu 2.72-2.75

Summary:
- space-group type = C2/m
- total moment (μB per formula unit) = 0.00
- total energy (eV per atom) = -23.28

=====

# 4
The following is a DFT calculation (meta-GGA SCAN) of a crystal of CaCu9Sn4 relaxed with PBEsol.

abc: 8.5953 8.5953 8.5953
angles: 120.54 120.54 89.07
Last column: nearest neighbours and their distance in Å.
Fractional positions:
Ca  0.2500  0.2500  0.0000  8 Sn 3.46, 16 Cu 3.55-3.59
Ca  0.7500  0.7500  0.0000  8 Sn 3.46, 16 Cu 3.55-3.59
Cu  0.0000  0.5000  0.5000  8 Cu 2.50-2.58, 4 Sn 2.73
Cu  0.0546  0.7980  0.8526  5 Cu 2.52-2.72, 4 Sn 2.70-2.74
Cu  0.0666  0.5666  0.2851  6 Cu 2.50-2.72, 4 Sn 2.55-2.66
Cu  0.2020  0.0546  0.2566  5 Cu 2.52-2.72, 4 Sn 2.70-2.74
Cu  0.2185  0.9334  0.5000  6 Cu 2.50-2.72, 4 Sn 2.55-2.66
Cu  0.2815  0.7815  0.7149  6 Cu 2.50-2.72, 4 Sn 2.55-2.66
Cu  0.2980  0.5546  0.8526  5 Cu 2.52-2.72, 4 Sn 2.70-2.74
Cu  0.4334  0.7185  0.5000  6 Cu 2.50-2.72, 4 Sn 2.55-2.66
Cu  0.4454  0.2980  0.7434  5 Cu 2.52-2.72, 4 Sn 2.70-2.74
Cu  0.5000  0.0000  0.5000  8 Cu 2.50-2.58, 4 Sn 2.73
Cu  0.5546  0.7020  0.2566  5 Cu 2.52-2.72, 4 Sn 2.70-2.74
Cu  0.5666  0.2815  0.5000  6 Cu 2.50-2.72, 4 Sn 2.55-2.66
Cu  0.7020  0.4454  0.1474  5 Cu 2.52-2.72, 4 Sn 2.70-2.74
Cu  0.7185  0.2185  0.2851  6 Cu 2.50-2.72, 4 Sn 2.55-2.66
Cu  0.7815  0.0666  0.5000  6 Cu 2.50-2.72, 4 Sn 2.55-2.66
Cu  0.7980  0.9454  0.7434  5 Cu 2.52-2.72, 4 Sn 2.70-2.74
Cu  0.9334  0.4334  0.7149  6 Cu 2.50-2.72, 4 Sn 2.55-2.66
Cu  0.9454  0.2020  0.1474  5 Cu 2.52-2.72, 4 Sn 2.70-2.74
Sn  0.0597  0.1870  0.5000  9 Cu 2.55-2.74
Sn  0.1870  0.6870  0.1273  9 Cu 2.55-2.74
Sn  0.3130  0.4403  0.5000  9 Cu 2.55-2.74
Sn  0.4403  0.9403  0.1273  9 Cu 2.55-2.74
Sn  0.5597  0.0597  0.8727  9 Cu 2.55-2.74
Sn  0.6870  0.5597  0.5000  9 Cu 2.55-2.74
Sn  0.8130  0.3130  0.8727  9 Cu 2.55-2.74
Sn  0.9403  0.8130  0.5000  9 Cu 2.55-2.74

Summary:
- space-group type = I4/mcm
- total moment (μB per formula unit) = 0.00
- total energy (eV per atom) = -20.86

=====

# 5
The following is a DFT calculation (meta-GGA SCAN) of a crystal of CaCu2Sn2 relaxed with PBEsol.

abc: 5.8033 5.8033 4.7843
angles: 106.42 106.42 42.15
Last column: nearest neighbours and their distance in Å.
Fractional positions:
Ca  0.0000  0.0000  0.0000  6 Cu 3.09-3.23, 4 Sn 3.41
Cu  0.2620  0.2620  0.8665  2 Cu 2.50, 4 Sn 2.58-2.63
Cu  0.7380  0.7380  0.1335  2 Cu 2.50, 4 Sn 2.58-2.63
Sn  0.3574  0.3574  0.4314  4 Cu 2.58-2.63
Sn  0.6426  0.6426  0.5686  4 Cu 2.58-2.63

Summary:
- space-group type = C2/m
- total moment (μB per formula unit) = 0.00
- total energy (eV per atom) = -22.76

=====

# 6
The following is a DFT calculation (meta-GGA SCAN) of a crystal of SrCaCu relaxed with PBEsol.

abc: 4.2099 4.2099 6.7979
angles: 90.00 90.00 120.00
Last column: nearest neighbours and their distance in Å.
Fractional positions:
Sr  0.0000  0.0000  0.0000  3 Cu 3.02
Ca  0.3333  0.6667  0.4865  3 Cu 2.87
Cu  0.6667  0.3333  0.2625  3 Ca 2.87, 3 Sr 3.02

Summary:
- offset from the most stable computed form (eV per atom) = 0.041
- space-group type = P3m1
- total moment (μB per formula unit) = 0.00
- total energy (eV per atom) = -15.65

=====

# 7
The following is a DFT calculation (meta-GGA SCAN) of a crystal of Sr2CaCu2 relaxed with PBEsol.

abc: 7.9674 7.9674 4.4800
angles: 90.00 90.00 90.00
Last column: nearest neighbours and their distance in Å.
Fractional positions:
Sr  0.1711  0.3289  0.0000  6 Cu 3.21-3.33
Sr  0.3289  0.8289  0.0000  6 Cu 3.21-3.33
Sr  0.6711  0.1711  0.0000  6 Cu 3.21-3.33
Sr  0.8289  0.6711  0.0000  6 Cu 3.21-3.33
Ca  0.0000  0.0000  0.5000  4 Cu 3.23
Ca  0.5000  0.5000  0.5000  4 Cu 3.23
Cu  0.1101  0.6101  0.5000  1 Cu 2.48
Cu  0.3899  0.1101  0.5000  1 Cu 2.48
Cu  0.6101  0.8899  0.5000  1 Cu 2.48
Cu  0.8899  0.3899  0.5000  1 Cu 2.48

Summary:
- space-group type = P4/mbm
- total moment (μB per formula unit) = 0.00
- total energy (eV per atom) = -16.94

=====

# 8
The following is a DFT calculation (meta-GGA SCAN) of a crystal of SrCaCu relaxed with PBEsol.

abc: 7.1568 7.1568 7.1568
angles: 150.26 150.26 42.56
Last column: nearest neighbours and their distance in Å.
Fractional positions:
Sr  0.0000  0.0000  0.0000  4 Cu 3.20, 1 Ca 3.47
Ca  0.7396  0.7396  0.0000  4 Cu 3.05
Cu  0.3596  0.3596  0.0000  4 Ca 3.05, 4 Sr 3.20

Summary:
- offset from the most stable computed form (eV per atom) = 0.000
- space-group type = I4mm
- total moment (μB per formula unit) = 0.01
- total energy (eV per atom) = -15.70

=====

Copy entry 8 word for word.
The following is a DFT calculation (meta-GGA SCAN) of a crystal of SrCaCu relaxed with PBEsol.

abc: 7.1568 7.1568 7.1568
angles: 150.26 150.26 42.56
Last column: nearest neighbours and their distance in Å.
Fractional positions:
Sr  0.0000  0.0000  0.0000  4 Cu 3.20, 1 Ca 3.47
Ca  0.7396  0.7396  0.0000  4 Cu 3.05
Cu  0.3596  0.3596  0.0000  4 Ca 3.05, 4 Sr 3.20

Summary:
- offset from the most stable computed form (eV per atom) = 0.000
- space-group type = I4mm
- total moment (μB per formula unit) = 0.01
- total energy (eV per atom) = -15.70